No. 1
{
  "formula": "VPO2F",
  "functional": "PBE+U",
  "state": "relaxed",
  "lattice": [[3.908, 0.000, 0.000], [0.000, 3.908, 0.000], [0.000, 0.000, 3.945]],
  "species": ["P", "F", "V", "O", "O"],
  "fractional_positions": [[0.500, 0.500, 0.500], [0.000, 0.000, 0.500], [0.000, 0.000, 0.000], [0.500, 0.000, 0.000], [0.000, 0.500, 0.000]],
  "e_tot_ev_per_atom": -5.822
}

---

No. 2
{
  "formula": "NaV2Zn2O7",
  "functional": "PBE+U",
  "state": "relaxed",
  "lattice": [[-1.606, -2.534, -4.657], [-3.831, -3.998, 0.201], [-7.506, 3.229, -2.464]],
  "species": ["Zn", "Zn", "O", "O", "O", "O", "O", "O", "O", "V", "V", "Na"],
  "fractional_positions": [[0.767, 0.767, 0.698], [0.233, 0.233, 0.302], [0.408, 0.088, 0.695], [0.592, 0.190, 0.305], [0.088, 0.810, 0.695], [0.810, 0.408, 0.695], [0.190, 0.912, 0.305], [0.000, 0.000, 0.000], [0.912, 0.592, 0.305], [0.076, 0.076, 0.772], [0.924, 0.924, 0.228], [0.500, 0.500, 0.500]],
  "e_tot_ev_per_atom": -6.101
}